(1)
# La2Sn2Au

An optimized crystal structure of La2Sn2Au (PBE-GGA, Alexandria).

Results
DOS at the Fermi energy, states/eV/f.u.: 5.037
SG: P4/mbm, No. 127
ΔH_f (0 K), meV/atom: -714
E above lowest polymorph, eV/atom: 0.101

POSCAR file:
```
La2Sn2Au
1.0
7.646 0.000 0.000
0.000 7.646 0.000
0.000 0.000 4.889
La Sn Au
4 4 2
Direct
0.170 0.330 0.000 La
0.330 0.830 0.000 La
0.670 0.170 0.000 La
0.830 0.670 0.000 La
0.137 0.637 0.500 Sn
0.363 0.137 0.500 Sn
0.637 0.863 0.500 Sn
0.863 0.363 0.500 Sn
0.000 0.000 0.500 Au
0.500 0.500 0.500 Au
```

---

(2)
# La5SnAu2

An optimized crystal structure of La5SnAu2 (PBE-GGA, Alexandria).

Results
DOS at the Fermi energy, states/eV/f.u.: 9.776
SG: I4/mcm, No. 140
ΔH_f (0 K), meV/atom: -644

POSCAR file:
```
La5SnAu2
1.0
-4.248 4.248 6.870
4.248 -4.248 6.870
4.248 4.248 -6.870
La Sn Au
10 2 4
Direct
0.000 0.000 0.000 La
0.014 0.514 0.817 La
0.196 0.014 0.500 La
0.304 0.804 0.817 La
0.486 0.304 0.500 La
0.500 0.500 0.000 La
0.514 0.696 0.500 La
0.696 0.196 0.183 La
0.804 0.986 0.500 La
0.986 0.486 0.183 La
0.250 0.250 0.000 Sn
0.750 0.750 0.000 Sn
0.134 0.366 0.500 Au
0.366 0.866 0.232 Au
0.634 0.134 0.768 Au
0.866 0.634 0.500 Au
```

---

(3)
# La6Sn2Au

An optimized crystal structure of La6Sn2Au (PBE-GGA, Alexandria).

Results
DOS at the Fermi energy, states/eV/f.u.: 12.464
SG: P-62m, No. 189
ΔH_f (0 K), meV/atom: -593

POSCAR file:
```
La6Sn2Au
1.0
8.704 0.000 0.000
-4.352 7.538 0.000
0.000 0.000 4.441
La Sn Au
6 2 1
Direct
0.000 0.414 0.000 La
0.000 0.748 0.500 La
0.252 0.252 0.500 La
0.414 0.000 0.000 La
0.586 0.586 0.000 La
0.748 0.000 0.500 La
0.333 0.667 0.500 Sn
0.667 0.333 0.500 Sn
0.000 0.000 0.000 Au
```

---

(4)
# La3Sn2Au4

An optimized crystal structure of La3Sn2Au4 (PBE-GGA, Alexandria).

Results
DOS at the Fermi energy, states/eV/f.u.: 2.033
SG: C2/m, No. 12
ΔH_f (0 K), meV/atom: -841

POSCAR file:
```
La3Sn2Au4
1.0
5.734 -2.380 0.000
5.734 2.380 0.000
-3.737 0.000 8.471
La Sn Au
3 2 4
Direct
0.000 0.000 0.000 La
0.352 0.352 0.317 La
0.648 0.648 0.683 La
0.363 0.363 0.700 Sn
0.637 0.637 0.300 Sn
0.084 0.084 0.419 Au
0.285 0.285 0.948 Au
0.715 0.715 0.052 Au
0.916 0.916 0.581 Au
```

---

(5)
# La2SnAu4

An optimized crystal structure of La2SnAu4 (PBE-GGA, Alexandria).

Results
DOS at the Fermi energy, states/eV/f.u.: 5.330
SG: R-3m, No. 166
ΔH_f (0 K), meV/atom: -646

POSCAR file:
```
La2SnAu4
1.0
2.306 1.332 10.171
-2.306 1.332 10.171
0.000 -2.663 10.171
La Sn Au
2 1 4
Direct
0.246 0.246 0.246 La
0.754 0.754 0.754 La
0.000 0.000 0.000 Sn
0.143 0.143 0.143 Au
0.368 0.368 0.368 Au
0.632 0.632 0.632 Au
0.857 0.857 0.857 Au
```

---

(6)
# La2Sn3Au

An optimized crystal structure of La2Sn3Au (PBE-GGA, Alexandria).

Results
DOS at the Fermi energy, states/eV/f.u.: 3.894
SG: Pmm2, No. 25
ΔH_f (0 K), meV/atom: -681

POSCAR file:
```
La2Sn3Au
1.0
4.338 0.000 0.000
0.000 4.858 0.000
0.000 0.000 8.121
La Sn Au
2 3 1
Direct
0.000 0.000 0.000 La
0.000 0.500 0.497 La
0.500 0.000 0.332 Sn
0.500 0.000 0.679 Sn
0.500 0.500 0.152 Sn
0.500 0.500 0.821 Au
```

---

(7)
# La2SnAu6

An optimized crystal structure of La2SnAu6 (PBE-GGA, Alexandria).

Results
DOS at the Fermi energy, states/eV/f.u.: 2.120
SG: P-3m1, No. 164
ΔH_f (0 K), meV/atom: -647

POSCAR file:
```
La2SnAu6
1.0
6.570 0.000 0.000
-3.285 5.690 0.000
0.000 0.000 5.577
La Sn Au
2 1 6
Direct
0.333 0.667 0.328 La
0.667 0.333 0.672 La
0.000 0.000 0.500 Sn
0.188 0.375 0.824 Au
0.188 0.812 0.824 Au
0.375 0.188 0.176 Au
0.625 0.812 0.824 Au
0.812 0.188 0.176 Au
0.812 0.625 0.176 Au
```

---

(8)
# La6Sn3Au

An optimized crystal structure of La6Sn3Au (PBE-GGA, Alexandria).

Results
DOS at the Fermi energy, states/eV/f.u.: 11.732
SG: P2_1/c, No. 14
ΔH_f (0 K), meV/atom: -587

POSCAR file:
```
La6Sn3Au
1.0
6.259 0.000 0.000
0.000 9.139 0.000
-6.017 0.000 11.767
La Sn Au
12 6 2
Direct
0.024 0.174 0.435 La
0.024 0.326 0.935 La
0.331 0.665 0.429 La
0.331 0.835 0.929 La
0.356 0.034 0.241 La
0.356 0.466 0.741 La
0.644 0.534 0.259 La
0.644 0.966 0.759 La
0.669 0.165 0.071 La
0.669 0.335 0.571 La
0.976 0.674 0.065 La
0.976 0.826 0.565 La
0.153 0.126 0.747 Sn
0.153 0.374 0.247 Sn
0.500 0.000 0.500 Sn
0.500 0.500 0.000 Sn
0.847 0.626 0.753 Sn
0.847 0.874 0.253 Sn
0.000 0.000 0.000 Au
0.000 0.500 0.500 Au
```

---

(9)
# LaSn3Au3

An optimized crystal structure of LaSn3Au3 (PBE-GGA, Alexandria).

Results
DOS at the Fermi energy, states/eV/f.u.: 4.174
SG: P2_13, No. 198
ΔH_f (0 K), meV/atom: -398
E above lowest polymorph, eV/atom: 0.000

POSCAR file:
```
LaSn3Au3
1.0
8.845 0.000 0.000
0.000 8.845 0.000
0.000 0.000 8.845
La Sn Au
4 12 12
Direct
0.055 0.445 0.555 La
0.445 0.555 0.055 La
0.555 0.055 0.445 La
0.945 0.945 0.945 La
0.094 0.594 0.906 Sn
0.179 0.179 0.179 Sn
0.183 0.817 0.317 Sn
0.317 0.183 0.817 Sn
0.321 0.821 0.679 Sn
0.406 0.406 0.406 Sn
0.594 0.906 0.094 Sn
0.679 0.321 0.821 Sn
0.683 0.683 0.683 Sn
0.817 0.317 0.183 Sn
0.821 0.679 0.321 Sn
0.906 0.094 0.594 Sn
0.001 0.284 0.879 Au
0.121 0.501 0.216 Au
0.216 0.121 0.501 Au
0.284 0.879 0.001 Au
0.379 0.499 0.716 Au
0.499 0.716 0.379 Au
0.501 0.216 0.121 Au
0.621 0.999 0.784 Au
0.716 0.379 0.499 Au
0.784 0.621 0.999 Au
0.879 0.001 0.284 Au
0.999 0.784 0.621 Au
```

---

(10)
# LaSn3Au2

An optimized crystal structure of LaSn3Au2 (PBE-GGA, Alexandria).

Results
DOS at the Fermi energy, states/eV/f.u.: 1.588
SG: C2/m, No. 12
ΔH_f (0 K), meV/atom: -490
E above lowest polymorph, eV/atom: 0.000

POSCAR file:
```
LaSn3Au2
1.0
8.071 -2.452 0.000
8.071 2.452 0.000
-4.616 0.000 7.816
La Sn Au
2 6 4
Direct
0.137 0.137 0.179 La
0.863 0.863 0.821 La
0.036 0.036 0.699 Sn
0.283 0.283 0.968 Sn
0.350 0.350 0.545 Sn
0.650 0.650 0.455 Sn
0.717 0.717 0.032 Sn
0.964 0.964 0.301 Sn
0.188 0.188 0.614 Au
0.483 0.483 0.140 Au
0.517 0.517 0.860 Au
0.812 0.812 0.386 Au
```

---

(11)
# LaSn3Au

An optimized crystal structure of LaSn3Au (PBE-GGA, Alexandria).

Results
DOS at the Fermi energy, states/eV/f.u.: 1.504
SG: Cmmm, No. 65
ΔH_f (0 K), meV/atom: -460
E above lowest polymorph, eV/atom: 0.000

POSCAR file:
```
LaSn3Au
1.0
2.418 -12.480 0.000
2.418 12.480 0.000
0.000 0.000 4.597
La Sn Au
2 6 2
Direct
0.168 0.832 0.000 La
0.832 0.168 0.000 La
0.059 0.941 0.500 Sn
0.277 0.723 0.500 Sn
0.443 0.557 0.000 Sn
0.557 0.443 0.000 Sn
0.723 0.277 0.500 Sn
0.941 0.059 0.500 Sn
0.383 0.617 0.500 Au
0.617 0.383 0.500 Au
```

---

(12)
# La2SnAu7

An optimized crystal structure of La2SnAu7 (PBE-GGA, Alexandria).

Results
DOS at the Fermi energy, states/eV/f.u.: 5.284
SG: P-4m2, No. 115
ΔH_f (0 K), meV/atom: -541

POSCAR file:
```
La2SnAu7
1.0
4.177 0.000 0.000
0.000 4.177 0.000
0.000 0.000 13.234
La Sn Au
2 1 7
Direct
0.000 0.500 0.241 La
0.500 0.000 0.759 La
0.000 0.000 0.500 Sn
0.000 0.000 0.000 Au
0.000 0.500 0.651 Au
0.000 0.500 0.855 Au
0.500 0.000 0.145 Au
0.500 0.000 0.349 Au
0.500 0.500 0.000 Au
0.500 0.500 0.500 Au
```

---

(13)
# La3SnAu4

An optimized crystal structure of La3SnAu4 (PBE-GGA, Alexandria).

Results
DOS at the Fermi energy, states/eV/f.u.: 4.312
SG: Immm, No. 71
ΔH_f (0 K), meV/atom: -709

POSCAR file:
```
La3SnAu4
1.0
4.112 0.000 0.000
0.000 7.357 0.000
0.000 0.000 14.891
La Sn Au
6 2 8
Direct
0.000 0.000 0.000 La
0.000 0.500 0.182 La
0.000 0.500 0.818 La
0.500 0.000 0.318 La
0.500 0.000 0.682 La
0.500 0.500 0.500 La
0.000 0.000 0.500 Sn
0.500 0.500 0.000 Sn
0.000 0.306 0.368 Au
0.000 0.306 0.632 Au
0.000 0.694 0.368 Au
0.000 0.694 0.632 Au
0.500 0.194 0.132 Au
0.500 0.194 0.868 Au
0.500 0.806 0.132 Au
0.500 0.806 0.868 Au
```

---

(14)
# LaSn3Au3

An optimized crystal structure of LaSn3Au3 (PBE-GGA, Alexandria).

Results
DOS at the Fermi energy, states/eV/f.u.: 5.148
SG: Pm-3n, No. 223
ΔH_f (0 K), meV/atom: -113
E above lowest polymorph, eV/atom: 0.285

POSCAR file:
```
LaSn3Au3
1.0
7.501 0.000 0.000
0.000 7.501 0.000
0.000 0.000 7.501
La Sn Au
2 6 6
Direct
0.000 0.000 0.000 La
0.500 0.500 0.500 La
0.000 0.250 0.500 Sn
0.000 0.750 0.500 Sn
0.250 0.500 0.000 Sn
0.500 0.000 0.250 Sn
0.500 0.000 0.750 Sn
0.750 0.500 0.000 Sn
0.000 0.500 0.250 Au
0.000 0.500 0.750 Au
0.250 0.000 0.500 Au
0.500 0.250 0.000 Au
0.500 0.750 0.000 Au
0.750 0.000 0.500 Au
```

---

(15)
# LaSn3Au3

An optimized crystal structure of LaSn3Au3 (PBE-GGA, Alexandria).

Results
DOS at the Fermi energy, states/eV/f.u.: 3.936
SG: R-3, No. 148
ΔH_f (0 K), meV/atom: -385
E above lowest polymorph, eV/atom: 0.014

POSCAR file:
```
LaSn3Au3
1.0
4.258 2.458 6.070
-4.258 2.458 6.070
0.000 -4.917 6.070
La Sn Au
2 6 6
Direct
0.167 0.167 0.167 La
0.833 0.833 0.833 La
0.098 0.717 0.406 Sn
0.283 0.594 0.902 Sn
0.406 0.098 0.717 Sn
0.594 0.902 0.283 Sn
0.717 0.406 0.098 Sn
0.902 0.283 0.594 Sn
0.069 0.418 0.761 Au
0.239 0.931 0.582 Au
0.418 0.761 0.069 Au
0.582 0.239 0.931 Au
0.761 0.069 0.418 Au
0.931 0.582 0.239 Au
```

---

(16)
# LaSn3Au

An optimized crystal structure of LaSn3Au (PBE-GGA, Alexandria).

Results
DOS at the Fermi energy, states/eV/f.u.: 5.497
SG: Pm-3m, No. 221
ΔH_f (0 K), meV/atom: 924
E above lowest polymorph, eV/atom: 1.384

POSCAR file:
```
LaSn3Au
1.0
6.030 0.000 0.000
0.000 6.030 0.000
0.000 0.000 6.030
La Sn Au
1 3 1
Direct
0.000 0.000 0.000 La
0.000 0.000 0.500 Sn
0.000 0.500 0.000 Sn
0.500 0.000 0.000 Sn
0.500 0.500 0.500 Au
```

---

(17)
# La3Sn3Au

An optimized crystal structure of La3Sn3Au (PBE-GGA, Alexandria).

Results
DOS at the Fermi energy, states/eV/f.u.: 4.929
SG: C2/m, No. 12
ΔH_f (0 K), meV/atom: -817

POSCAR file:
```
La3Sn3Au
1.0
5.897 -2.381 0.000
5.897 2.381 0.000
-5.283 0.000 14.684
La Sn Au
6 6 2
Direct
0.031 0.031 0.383 La
0.100 0.100 0.923 La
0.239 0.239 0.230 La
0.761 0.761 0.770 La
0.900 0.900 0.077 La
0.969 0.969 0.617 La
0.360 0.360 0.457 Sn
0.377 0.377 0.924 Sn
0.477 0.477 0.769 Sn
0.523 0.523 0.231 Sn
0.623 0.623 0.076 Sn
0.640 0.640 0.543 Sn
0.263 0.263 0.612 Au
0.737 0.737 0.388 Au
```

---

(18)
# La4Sn8Au

An optimized crystal structure of La4Sn8Au (PBE-GGA, Alexandria).

Results
DOS at the Fermi energy, states/eV/f.u.: 5.481
SG: Pmm2, No. 25
ΔH_f (0 K), meV/atom: -654

POSCAR file:
```
La4Sn8Au
1.0
4.498 0.000 0.000
0.000 4.598 0.000
0.000 0.000 18.156
La Sn Au
4 8 1
Direct
0.000 0.000 0.000 La
0.000 0.500 0.480 La
0.500 0.000 0.788 La
0.500 0.500 0.282 La
0.000 0.000 0.322 Sn
0.000 0.000 0.621 Sn
0.000 0.500 0.138 Sn
0.000 0.500 0.861 Sn
0.500 0.000 0.144 Sn
0.500 0.000 0.431 Sn
0.500 0.500 0.619 Sn
0.500 0.500 0.967 Sn
0.000 0.500 0.714 Au
```

---

(19)
# LaSnAu11

An optimized crystal structure of LaSnAu11 (PBE-GGA, Alexandria).

Results
DOS at the Fermi energy, states/eV/f.u.: 4.339
SG: C2/m, No. 12
ΔH_f (0 K), meV/atom: -218

POSCAR file:
```
LaSnAu11
1.0
2.800 -6.595 0.000
2.800 6.595 0.000
-2.685 0.000 7.127
La Sn Au
1 1 11
Direct
0.000 0.000 0.000 La
0.500 0.500 0.500 Sn
0.000 0.000 0.500 Au
0.000 0.500 0.000 Au
0.017 0.662 0.658 Au
0.294 0.507 0.790 Au
0.338 0.983 0.342 Au
0.493 0.706 0.210 Au
0.500 0.000 0.000 Au
0.507 0.294 0.790 Au
0.662 0.017 0.658 Au
0.706 0.493 0.210 Au
0.983 0.338 0.342 Au
```

---

(20)
# LaTbSnAu

An optimized crystal structure of LaTbSnAu (PBE-GGA, Alexandria).

Results
DOS at the Fermi energy, states/eV/f.u.: 3.726
SG: F-43m, No. 216
ΔH_f (0 K), meV/atom: -724

POSCAR file:
```
LaTbSnAu
1.0
7.598 0.000 0.000
0.000 7.598 0.000
0.000 0.000 7.598
La Tb Sn Au
4 4 4 4
Direct
0.000 0.000 0.000 La
0.000 0.500 0.500 La
0.500 0.000 0.500 La
0.500 0.500 0.000 La
0.000 0.000 0.500 Tb
0.000 0.500 0.000 Tb
0.500 0.000 0.000 Tb
0.500 0.500 0.500 Tb
0.250 0.250 0.750 Sn
0.250 0.750 0.250 Sn
0.750 0.250 0.250 Sn
0.750 0.750 0.750 Sn
0.250 0.250 0.250 Au
0.250 0.750 0.750 Au
0.750 0.250 0.750 Au
0.750 0.750 0.250 Au
```

---

(21)
# LaSn2TeAu

An optimized crystal structure of LaSn2TeAu (PBE-GGA, Alexandria).

Results
DOS at the Fermi energy, states/eV/f.u.: 3.031
SG: P4/mmm, No. 123
Raw formation energy, eV per formula unit: -1.2

POSCAR file:
```
LaSn2TeAu
1.0
5.174 0.000 0.000
0.000 5.174 0.000
0.000 0.000 6.176
La Sn Te Au
1 2 1 1
Direct
0.000 0.000 0.000 La
0.000 0.500 0.500 Sn
0.500 0.000 0.500 Sn
0.500 0.500 0.000 Te
0.000 0.000 0.500 Au
```